[1]
The following is a DFT calculation (PBE) of a relaxed Ac3GeH2 crystal.

The structure in CIF format:
```
data_Ac3GeH2
_chemical_formula_sum 'Ac6 Ge2 H4'
_symmetry_space_group_name_H-M 'P m m n'
_symmetry_Int_Tables_number 59
_cell_length_a 5.458
_cell_length_b 13.357
_cell_length_c 4.189
_cell_angle_alpha 90.00
_cell_angle_beta 90.00
_cell_angle_gamma 90.00
loop_
_symmetry_equiv_pos_as_xyz
'x,y,z'
'-x,-y,-z'
'-x+1/2,-y+1/2,z'
'x+1/2,y+1/2,-z'
'x+1/2,-y,-z'
'-x+1/2,y,z'
'-x,y+1/2,-z'
'x,-y+1/2,z'
loop_
_atom_site_label
_atom_site_fract_x
_atom_site_fract_y
_atom_site_fract_z
Ac1 0.250 0.061 0.242
Ac2 0.250 0.750 0.658
Ge1 0.250 0.250 0.766
H1 0.250 0.558 0.735
```

Density of states at the Fermi level, states/eV per atom: 0.515
Mass density, kg/m3: 8217
Crystal system: orthorhombic
Total DFT energy (no corrections), eV/cell: -52.2



[2]
The following is a DFT calculation (PBE) of a relaxed TcP2Se crystal.

The structure in CIF format:
```
data_TcP2Se
_chemical_formula_sum 'Tc4 P8 Se4'
_symmetry_space_group_name_H-M 'I -4 2 d'
_symmetry_Int_Tables_number 122
_symmetry_space_group_name_Hall 'I -4 2bw'
_cell_length_a 5.665
_cell_length_b 5.665
_cell_length_c 10.548
_cell_angle_alpha 90.00
_cell_angle_beta 90.00
_cell_angle_gamma 90.00
loop_
_atom_site_label
_atom_site_fract_x
_atom_site_fract_y
_atom_site_fract_z
Tc1 0.000 0.000 0.000
P1 0.204 0.250 0.125
Se1 0.000 0.000 0.500
```

Density of states at the Fermi level, states/eV per atom: 0.690
Mass density, kg/m3: 4688
E_form (uncorrected), eV per atom: 0.20
Crystal system: tetragonal
Total DFT energy (no corrections), eV/cell: -95.5



[3]
The following is a DFT calculation (PBE) of a relaxed FeCoRe crystal.

The structure in CIF format:
```
data_FeCoRe
_chemical_formula_sum 'Fe2 Co2 Re2'
_symmetry_space_group_name_H-M 'I 4 m m'
_symmetry_Int_Tables_number 107
_symmetry_space_group_name_Hall 'I 4 -2'
_cell_length_a 2.616
_cell_length_b 2.616
_cell_length_c 10.848
_cell_angle_alpha 90.00
_cell_angle_beta 90.00
_cell_angle_gamma 90.00
loop_
_atom_site_label
_atom_site_fract_x
_atom_site_fract_y
_atom_site_fract_z
Fe1 0.000 0.000 0.000
Co1 0.000 0.000 0.345
Re1 0.000 0.000 0.680
```

Density of states at the Fermi level, states/eV per atom: 1.065
Mass density, kg/m3: 13461
Crystal system: tetragonal
Energy relative to the lowest polymorph listed for this composition, meV per atom: 48
Total DFT energy (no corrections), eV/cell: -55.5
Energy of formation from the pure elements, eV per atom: 0.093



[4]
The following is a DFT calculation (PBE) of a relaxed SrZrCo2 crystal.

The structure in CIF format:
```
data_SrZrCo2
_chemical_formula_sum 'Sr4 Zr4 Co8'
_symmetry_space_group_name_H-M 'F -4 3 m'
_symmetry_Int_Tables_number 216
_symmetry_space_group_name_Hall 'F -4 2 3'
_cell_length_a 6.597
_cell_length_b 6.597
_cell_length_c 6.597
_cell_angle_alpha 90.00
_cell_angle_beta 90.00
_cell_angle_gamma 90.00
loop_
_atom_site_label
_atom_site_fract_x
_atom_site_fract_y
_atom_site_fract_z
Sr1 0.000 0.000 0.000
Zr1 0.250 0.250 0.250
Co1 0.000 0.000 0.500
Co2 0.250 0.250 0.750
```

Density of states at the Fermi level, states/eV per atom: 1.351
Mass density, kg/m3: 6864
Crystal system: cubic
Energy relative to the lowest polymorph listed for this composition, meV per atom: 642
Total DFT energy (no corrections), eV/cell: -86.5
Energy of formation from the pure elements, eV per atom: 0.706



> What is the mass density in the fourth record?

6864 kg/m3



> total DFT energy (no corrections) of number 1 (Ac3GeH2)?

-52.2 eV/cell



> Number 1 is which compound?

Ac3GeH2



> Which value of density of states at the Fermi level does entry 4 give?

1.351 states/eV per atom